1.
A relaxed structure of LiAc2Se. Source: the Alexandria database, functional PBE.

The structure belongs to space group P4/mmm (No. 123); the cell edges are 5.575, 5.575 and 3.845 Å and the angles 90.00°, 90.00° and 90.00°. The inequivalent atoms are Li at (0.000, 0.000, 0.000), Ac at (0.000, 0.500, 0.500) and Se at (0.500, 0.500, 0.000).

Its formation energy without anion corrections is -2.689 eV/f.u. As for the volume: 119 Å³/cell. The density is 7.503 Mg/m³. As for the energy relative to the lowest polymorph listed for this composition: 0 meV per atom.

***

2.
A relaxed structure of Tm3GaNi8. Source: the Alexandria database, functional PBE.

The structure belongs to space group R3m (No. 160, hexagonal axes); the cell edges are 4.9553, 4.9553 and 24.2763 Å and the angles 90.00°, 90.00° and 120.00°. The inequivalent atoms are Tm at (0.0000, 0.0000, 0.0000), Tm at (0.0000, 0.0000, 0.1289), Tm at (0.0000, 0.0000, 0.6149), Ga at (0.0000, 0.0000, 0.4912), Ni at (0.0000, 0.0000, 0.3115), Ni at (0.0000, 0.0000, 0.8118), Ni at (0.0009, 0.5005, 0.0619) and Ni at (0.0026, 0.5013, 0.5607).

The formation energy comes out at -0.47 eV/atom. As for the volume: 516 Å³/cell. The density is 10.094 Mg/m³.

***

3.
A relaxed structure of Nd2AgAu6. Source: the Alexandria database, functional PBE.

The structure belongs to space group P-3m1 (No. 164); the cell edges are 6.3532, 6.3532 and 5.6757 Å and the angles 90.00°, 90.00° and 120.00°. The inequivalent atoms are Nd at (0.3333, 0.6667, 0.3300), Ag at (0.0000, 0.0000, 0.5000) and Au at (0.1839, 0.3679, 0.8210).

The formation energy comes out at -0.50 eV/atom. As for the volume: 198 Å³/cell. The density is 13.209 Mg/m³.

***

4.
A relaxed structure of SrMnTc2. Source: the Alexandria database, functional PBE.

The structure belongs to space group Cmmm (No. 65); the cell edges are 5.599, 9.712 and 2.639 Å and the angles 90.00°, 90.00° and 90.00°. The inequivalent atoms are Sr at (0.000, 0.000, 0.000), Mn at (0.000, 0.500, 0.000) and Tc at (0.250, 0.250, 0.500).

The formation energy comes out at 0.98 eV/atom. As for the volume: 144 Å³/cell. The density is 7.835 Mg/m³. As for the energy relative to the lowest polymorph listed for this composition: 560 meV per atom.

***

| no. | magnetic moment (μB/atom) | D(E_F) (states/eV/f.u.) |
| --- | --- | --- |
| 1 | 0.000 | 3.86 |
| 2 | 0.000 | 10.48 |
| 3 | 0.000 | 4.94 |
| 4 | 0.939 | 4.72 |